Density functional theory data (PBE-GGA) for a relaxed structure of Sr2Tl3Cd.

Values from the calculation:
Formation energy from the elements in eV per formula unit: -1.96
Spin magnetization in Bohr magnetons per cell: 0.0
Density in g/cm³: 7.85
Symmetry: Fmmm (69)
Energy above the most stable polymorph in this dataset in meV per atom: 21

Cell lengths 10.4845, 9.9370, 6.5888 Å; angles 75.75, 66.73, 37.52 degrees
Fractional positions:
Sr1 0.2493 0.7507 0.7507
Sr2 0.2500 0.2500 0.2500
Sr3 0.7500 0.7500 0.7500
Sr4 0.7507 0.2493 0.2493
Tl1 0.1695 0.1695 0.8305
Tl2 0.1696 0.6605 0.3395
Tl3 0.3395 0.8304 0.1696
Tl4 0.6605 0.1696 0.8304
Tl5 0.8304 0.3395 0.6605
Tl6 0.8305 0.8305 0.1695
Cd1 0.3327 0.3327 0.6673
Cd2 0.6673 0.6673 0.3327

=====

Density functional theory data (PBE-GGA) for a relaxed structure of CaHoPtAu.

Values from the calculation:
Formation energy from the elements in eV per formula unit: -3.78
Spin magnetization in Bohr magnetons per cell: 0.0
Density in g/cm³: 11.25
Symmetry: F-43m (216)
Energy above the most stable polymorph in this dataset in meV per atom: 31

Cell lengths 4.9951, 4.9951, 4.9951 Å; angles 60.00, 60.00, 60.00 degrees
Fractional positions:
Ca1 0.0000 0.0000 0.0000
Ho1 0.5000 0.5000 0.5000
Pt1 0.2500 0.2500 0.2500
Au1 0.7500 0.7500 0.7500

=====

Density functional theory data (PBE-GGA) for a relaxed structure of ZnFeCoPd.

Values from the calculation:
Formation energy from the elements in eV per formula unit: -0.43
Spin magnetization in Bohr magnetons per cell: 4.6
Density in g/cm³: 9.09
Symmetry: F-43m (216)

Cell lengths 4.1986, 4.1986, 4.1986 Å; angles 60.00, 60.00, 60.00 degrees
Fractional positions:
Zn1 0.0000 0.0000 0.0000
Fe1 0.5000 0.5000 0.5000
Co1 0.2500 0.2500 0.2500
Pd1 0.7500 0.7500 0.7500

=====

Density functional theory data (PBE-GGA) for a relaxed structure of PdRuW3.

Values from the calculation:
Formation energy from the elements in eV per formula unit: 12.56
Spin magnetization in Bohr magnetons per cell: 0.0
Density in g/cm³: 12.50
Symmetry: Pm-3m (221)
Energy above the most stable polymorph in this dataset in meV per atom: 642

Cell lengths 4.6549, 4.6549, 4.6549 Å; angles 90.00, 90.00, 90.00 degrees
Fractional positions:
Pd1 0.0000 0.0000 0.0000
Ru1 0.5000 0.5000 0.5000
W1 0.0000 0.0000 0.5000
W2 0.0000 0.5000 0.0000
W3 0.5000 0.0000 0.0000

=====

Density functional theory data (PBE-GGA) for a relaxed structure of LiCeTmNi.

Values from the calculation:
Formation energy from the elements in eV per formula unit: -0.19
Spin magnetization in Bohr magnetons per cell: 0.7
Density in g/cm³: 7.42
Symmetry: F-43m (216)

Cell lengths 4.9136, 4.9136, 4.9136 Å; angles 60.00, 60.00, 60.00 degrees
Fractional positions:
Li1 0.0000 0.0000 0.0000
Ce1 0.2500 0.2500 0.2500
Tm1 0.7500 0.7500 0.7500
Ni1 0.5000 0.5000 0.5000

=====

Density functional theory data (PBE-GGA) for a relaxed structure of TaZn2Pd.

Values from the calculation:
Formation energy from the elements in eV per formula unit: -0.38
Spin magnetization in Bohr magnetons per cell: 0.0
Density in g/cm³: 10.94
Symmetry: Cm (8)

Cell lengths 2.9275, 2.9275, 8.9606 Å; angles 100.39, 100.39, 57.67 degrees
Fractional positions:
Ta1 0.0000 0.0000 0.0000
Zn1 0.2279 0.2279 0.7346
Zn2 0.4144 0.4144 0.2657
Pd1 0.8216 0.8216 0.4997

=====

Density functional theory data (PBE-GGA) for a relaxed structure of Pr3Al2Pd9Pb.

Values from the calculation:
Formation energy from the elements in eV per formula unit: -8.67
Spin magnetization in Bohr magnetons per cell: 0.0
Density in g/cm³: 7.92
Symmetry: P-3m1 (164)

Cell lengths 5.7754, 5.7754, 11.9099 Å; angles 90.00, 90.00, 120.00 degrees
Fractional positions:
Pr1 0.0000 0.0000 0.0000
Pr2 0.3333 0.6667 0.7607
Pr3 0.6667 0.3333 0.2393
Al1 0.3333 0.6667 0.1590
Al2 0.6667 0.3333 0.8410
Pd1 0.0000 0.5000 0.0000
Pd2 0.1637 0.3274 0.3086
Pd3 0.1637 0.8363 0.3086
Pd4 0.3274 0.1637 0.6914
Pd5 0.5000 0.0000 0.0000
Pd6 0.5000 0.5000 0.0000
Pd7 0.6726 0.8363 0.3086
Pd8 0.8363 0.1637 0.6914
Pd9 0.8363 0.6726 0.6914
Pb1 0.0000 0.0000 0.5000

=====

Density functional theory data (PBE-GGA) for a relaxed structure of YLuMnHg.

Values from the calculation:
Formation energy from the elements in eV per formula unit: -0.34
Spin magnetization in Bohr magnetons per cell: 3.2
Density in g/cm³: 9.15
Symmetry: F-43m (216)

Cell lengths 5.1084, 5.1084, 5.1084 Å; angles 60.00, 60.00, 60.00 degrees
Fractional positions:
Y1 0.0000 0.0000 0.0000
Lu1 0.5000 0.5000 0.5000
Mn1 0.2500 0.2500 0.2500
Hg1 0.7500 0.7500 0.7500

=====

Density functional theory data (PBE-GGA) for a relaxed structure of KSBr2.

Values from the calculation:
Raw formation energy in meV/atom: -503
Spin magnetization in Bohr magnetons per cell: 1.0
Density in g/cm³: 2.03
Symmetry: R-3m (166)
Energy above the most stable polymorph in this dataset in meV per atom: 0

Cell lengths 8.2249, 8.2249, 8.2249 Å; angles 37.93, 37.93, 37.93 degrees
Fractional positions:
K1 0.0000 0.0000 0.0000
S1 0.5000 0.5000 0.5000
Br1 0.3931 0.3931 0.3931
Br2 0.6069 0.6069 0.6069

=====

Density functional theory data (PBE-GGA) for a relaxed structure of Cr2Ni3Ru.

Values from the calculation:
Formation energy from the elements in eV per formula unit: 1.92
Spin magnetization in Bohr magnetons per cell: 0.0
Density in g/cm³: 8.52
Symmetry: C2/c (15)

Cell lengths 5.6036, 5.6036, 4.7928 Å; angles 91.07, 91.07, 98.96 degrees
Fractional positions:
Cr1 0.0620 0.5641 0.7799
Cr2 0.4359 0.9380 0.7201
Cr3 0.5641 0.0620 0.2799
Cr4 0.9380 0.4359 0.2201
Ni1 0.1645 0.1842 0.4870
Ni2 0.1842 0.1645 0.9870
Ni3 0.2107 0.7893 0.2500
Ni4 0.7893 0.2107 0.7500
Ni5 0.8158 0.8355 0.0130
Ni6 0.8355 0.8158 0.5130
Ru1 0.4626 0.5374 0.7500
Ru2 0.5374 0.4626 0.2500

=====

Density functional theory data (PBE-GGA) for a relaxed structure of B2C.

Values from the calculation:
Formation energy from the elements in eV per formula unit: 1.34
Spin magnetization in Bohr magnetons per cell: 0.0
Density in g/cm³: 2.54
Symmetry: Pm (6)
Energy above the most stable polymorph in this dataset in meV per atom: 261

Cell lengths 4.4666, 2.4552, 8.0439 Å; angles 90.00, 92.95, 90.00 degrees
Fractional positions:
B1 0.0000 0.0000 0.0000
B2 0.0193 0.0000 0.2739
B3 0.2170 0.5000 0.6858
B4 0.2428 0.5000 0.3606
B5 0.4187 0.5000 0.1631
B6 0.6603 0.0000 0.8723
B7 0.7120 0.0000 0.1381
B8 0.9063 0.0000 0.6869
C1 0.2205 0.5000 0.9942
C2 0.4141 0.5000 0.8545
C3 0.4657 0.5000 0.5193
C4 0.6268 0.0000 0.5635

=====

Density functional theory data (PBE-GGA) for a relaxed structure of AlVFe2C.

Values from the calculation:
Formation energy from the elements in eV per formula unit: -0.81
Spin magnetization in Bohr magnetons per cell: 3.0
Density in g/cm³: 5.91
Symmetry: P4/mmm (123)
Energy above the most stable polymorph in this dataset in meV per atom: 0

Cell lengths 3.7560, 3.7560, 4.0156 Å; angles 90.00, 90.00, 90.00 degrees
Fractional positions:
Al1 0.0000 0.0000 0.0000
V1 0.5000 0.5000 0.0000
Fe1 0.0000 0.5000 0.5000
Fe2 0.5000 0.0000 0.5000
C1 0.5000 0.5000 0.5000